Compound: RbTiTlSn2
Source: Alexandria
Functional: PBE
Structure: optimized geometry

Geometry as POSCAR:
```
RbTiTlSn2
1.0
5.3960 0.0000 0.0000
0.0000 5.3960 0.0000
0.0000 0.0000 5.6009
Sn Ti Tl Rb
2 1 1 1
Direct
0.0000 0.5000 0.0000
0.5000 0.0000 0.0000
0.0000 0.0000 0.0000
0.0000 0.0000 0.5000
0.5000 0.5000 0.5000
```

## Properties
- DFT formation energy (eV/atom) = -0.051
- SG = No. 123
- magnetization (μB per cell) = 0.0
- Fermi-level density of states (states/eV/cell) = 3.8